A plane-wave DFT calculation with PBE was carried out for SmCu2S3 after structural relaxation.

The value obtained for the total magnetization is 0.00 μB per formula unit. The total energy is -5.040 eV/atom. The value obtained for the formation energy from raw total energies is -0.8244 eV/atom.

Cell lengths 7.1530, 7.1530, 4.8090 Å; angles 90.00, 90.00, 110.43 degrees
Last column: nearest neighbours and their distance in Å.
Fractional positions:
Sm1 0.2346 0.7654 0.7500  8 S 2.85-3.07
Sm2 0.7654 0.2346 0.2500  8 S 2.85-3.07
Cu1 0.3087 0.3087 0.0000  4 S 2.29-2.38, 2 Cu 2.40
Cu2 0.3087 0.3087 0.5000  4 S 2.29-2.38, 2 Cu 2.40
Cu3 0.6913 0.6913 0.0000  4 S 2.29-2.38, 2 Cu 2.40
Cu4 0.6913 0.6913 0.5000  4 S 2.29-2.38, 2 Cu 2.40
S1 0.0490 0.3424 0.7500  2 Cu 2.29
S2 0.3424 0.0490 0.2500  2 Cu 2.29
S3 0.3860 0.6140 0.2500  4 Cu 2.38
S4 0.6140 0.3860 0.7500  4 Cu 2.38
S5 0.6576 0.9510 0.7500  2 Cu 2.29
S6 0.9510 0.6576 0.2500  2 Cu 2.29